DFT (PBE) results for crystalline K2Rb2Li at its relaxed geometry.

Cell lengths 5.5708, 5.5708, 24.4349 Å; angles 90.00, 90.00, 90.00 degrees
Space group I4/mmm (No. 139)
Unique sites:
1 K 0.0000 0.5000 0.2500 (multiplicity 4)
2 Rb 0.0000 0.0000 0.0882 (multiplicity 4)
3 Li 0.0000 0.0000 0.5000 (multiplicity 2)

Properties
offset from the most stable computed form	71	meV/atom
ΔH_f (0 K)	0.20	eV/atom
crystal system	tetragonal
M_tot	0.0	μB per formula unit

=====

DFT (PBE) results for crystalline KRb14Li at its relaxed geometry.

Cell lengths 14.9816, 15.0061, 12.0425 Å; angles 90.00, 90.00, 90.00 degrees
Space group Cmmm (No. 65)
Unique sites:
1 K 0.0000 0.0000 0.0000 (multiplicity 2)
2 Rb 0.0000 0.0000 0.5000 (multiplicity 2)
3 Rb 0.0000 0.2624 0.2302 (multiplicity 8)
4 Rb 0.0000 0.5000 0.5000 (multiplicity 2)
5 Rb 0.2376 0.5000 0.2302 (multiplicity 8)
6 Rb 0.2500 0.2500 0.0000 (multiplicity 4)
7 Rb 0.2500 0.2500 0.5000 (multiplicity 4)
8 Li 0.0000 0.5000 0.0000 (multiplicity 2)

Properties
ΔH_f (0 K)	0.04	eV/atom
crystal system	orthorhombic
M_tot	0.0	μB per formula unit

=====

DFT (PBE) results for crystalline KRbLi2 at its relaxed geometry.

Cell lengths 10.1936, 10.1936, 7.5736 Å; angles 90.00, 90.00, 90.00 degrees
Space group I-42d (No. 122)
Unique sites:
1 K 0.0000 0.0000 0.0000 (multiplicity 4)
2 Rb 0.0000 0.0000 0.5000 (multiplicity 4)
3 Li 0.2428 0.2500 0.1250 (multiplicity 8)

Properties
offset from the most stable computed form	67	meV/atom
ΔH_f (0 K)	0.26	eV/atom
crystal system	tetragonal
M_tot	0.0	μB per formula unit

=====

DFT (PBE) results for crystalline K14RbLi at its relaxed geometry.

Cell lengths 14.9705, 9.2462, 16.1538 Å; angles 90.00, 90.00, 90.00 degrees
Space group Amm2 (No. 38)
Unique sites:
1 K 0.0000 0.0000 0.0000 (multiplicity 2)
2 K 0.0000 0.0000 0.4946 (multiplicity 2)
3 K 0.0000 0.2462 0.2461 (multiplicity 4)
4 K 0.2415 0.0000 0.8325 (multiplicity 4)
5 K 0.2581 0.2436 0.0817 (multiplicity 8)
6 K 0.2680 0.0000 0.3237 (multiplicity 4)
7 K 0.5000 0.2436 0.9184 (multiplicity 4)
8 Rb 0.5000 0.0000 0.6702 (multiplicity 2)
9 Li 0.5000 0.0000 0.1603 (multiplicity 2)

Properties
ΔH_f (0 K)	0.03	eV/atom
crystal system	orthorhombic
M_tot	0.0	μB per formula unit

=====

DFT (PBE) results for crystalline K7Rb3Li at its relaxed geometry.

Cell lengths 15.3957, 13.3253, 8.5530 Å; angles 90.00, 111.58, 90.00 degrees
Space group Cm (No. 8)
Unique sites:
1 K 0.0000 0.0000 0.0000 (multiplicity 2)
2 K 0.0096 0.5000 0.2337 (multiplicity 2)
3 K 0.1093 0.1853 0.4713 (multiplicity 4)
4 K 0.1784 0.5000 0.7837 (multiplicity 2)
5 K 0.4264 0.1872 0.7290 (multiplicity 4)
6 Rb 0.2554 0.2093 0.0722 (multiplicity 4)
7 Rb 0.3340 0.5000 0.4128 (multiplicity 2)
8 Li 0.2872 0.0000 0.4040 (multiplicity 2)

Properties
ΔH_f (0 K)	0.06	eV/atom
crystal system	monoclinic
M_tot	0.0	μB per formula unit

=====

DFT (PBE) results for crystalline K12Rb3Li at its relaxed geometry.

Cell lengths 6.7281, 6.7281, 25.4451 Å; angles 90.00, 90.00, 90.00 degrees
Space group P4/mmm (No. 123)
Unique sites:
1 K 0.0000 0.0000 0.0000 (multiplicity 1)
2 K 0.0000 0.0000 0.2362 (multiplicity 2)
3 K 0.0000 0.0000 0.5000 (multiplicity 1)
4 K 0.0000 0.5000 0.1027 (multiplicity 4)
5 K 0.0000 0.5000 0.3675 (multiplicity 4)
6 Rb 0.5000 0.5000 0.2348 (multiplicity 2)
7 Rb 0.5000 0.5000 0.5000 (multiplicity 1)
8 Li 0.5000 0.5000 0.0000 (multiplicity 1)

Properties
ΔH_f (0 K)	0.03	eV/atom
crystal system	tetragonal
M_tot	0.0	μB per formula unit

=====

DFT (PBE) results for crystalline K6Rb8Li at its relaxed geometry.

Cell lengths 12.0677, 12.0677, 28.2307 Å; angles 90.00, 90.00, 120.00 degrees
Space group R-3 (No. 148, hexagonal axes)
Unique sites:
1 K 0.0306 0.7714 0.2035 (multiplicity 18)
2 Rb 0.0000 0.0000 0.0801 (multiplicity 6)
3 Rb 0.0504 0.2490 0.6285 (multiplicity 18)
4 Li 0.0000 0.0000 0.5000 (multiplicity 3)

Properties
ΔH_f (0 K)	0.05	eV/atom
crystal system	trigonal
M_tot	0.0	μB per formula unit

=====

DFT (PBE) results for crystalline K2Rb2Li at its relaxed geometry.

Cell lengths 10.0400, 10.0400, 7.2292 Å; angles 90.00, 90.00, 90.00 degrees
Space group P4/mbm (No. 127)
Unique sites:
1 K 0.1737 0.3263 0.0000 (multiplicity 4)
2 Rb 0.1515 0.6515 0.5000 (multiplicity 4)
3 Li 0.0000 0.0000 0.5000 (multiplicity 2)

Properties
offset from the most stable computed form	36	meV/atom
ΔH_f (0 K)	0.16	eV/atom
crystal system	tetragonal
M_tot	0.0	μB per formula unit

=====

DFT (PBE) results for crystalline K2RbLi2 at its relaxed geometry.

Cell lengths 5.9338, 5.9338, 15.9787 Å; angles 90.00, 90.00, 90.00 degrees
Space group I4/mmm (No. 139)
Unique sites:
1 K 0.0000 0.5000 0.2500 (multiplicity 4)
2 Rb 0.0000 0.0000 0.0000 (multiplicity 2)
3 Li 0.0000 0.0000 0.4085 (multiplicity 4)

Properties
offset from the most stable computed form	59	meV/atom
ΔH_f (0 K)	0.17	eV/atom
crystal system	tetragonal
M_tot	0.0	μB per formula unit

=====

DFT (PBE) results for crystalline K4RbLi at its relaxed geometry.

Cell lengths 11.8588, 11.8588, 11.8588 Å; angles 90.00, 90.00, 90.00 degrees
Space group F-43m (No. 216)
Unique sites:
1 K 0.1241 0.1241 0.3759 (multiplicity 16)
2 Rb 0.0000 0.0000 0.0000 (multiplicity 4)
3 Li 0.2500 0.2500 0.7500 (multiplicity 4)

Properties
ΔH_f (0 K)	0.15	eV/atom
crystal system	cubic
M_tot	0.0	μB per formula unit

=====

DFT (PBE) results for crystalline K2RbLi2 at its relaxed geometry.

Cell lengths 10.4789, 10.4789, 4.8915 Å; angles 90.00, 90.00, 90.00 degrees
Space group P4/mbm (No. 127)
Unique sites:
1 K 0.1725 0.3275 0.0000 (multiplicity 4)
2 Rb 0.0000 0.0000 0.5000 (multiplicity 2)
3 Li 0.1080 0.6080 0.5000 (multiplicity 4)

Properties
offset from the most stable computed form	26	meV/atom
ΔH_f (0 K)	0.14	eV/atom
crystal system	tetragonal
M_tot	0.0	μB per formula unit

=====

DFT (PBE) results for crystalline K2Rb2Li at its relaxed geometry.

Cell lengths 9.8307, 9.8307, 7.3278 Å; angles 90.00, 90.00, 90.00 degrees
Space group P4/mbm (No. 127)
Unique sites:
1 K 0.1504 0.3496 0.0000 (multiplicity 4)
2 Rb 0.1790 0.6790 0.5000 (multiplicity 4)
3 Li 0.0000 0.0000 0.0000 (multiplicity 2)

Properties
offset from the most stable computed form	0	meV/atom
ΔH_f (0 K)	0.13	eV/atom
crystal system	tetragonal
M_tot	0.0	μB per formula unit